SiNiS | PBE | relaxed

Unit cell a=3.379 b=2.592 c=5.316 alpha=90.00 beta=107.33 gamma=90.00
Space group Pm (No. 6)
Asymmetric unit:
Si1 0.000 0.000 0.000
Ni1 0.408 0.500 0.793
S1 0.383 0.000 0.420

Summary:
- Formation energy from raw total energies: -0.14 eV per atom
- Theoretical density: 4440 kg/m3